1.
The following is a PBE-GGA calculation of an optimized crystal structure of SmThCoPd, from Alexandria via LeMat-Bulk.

Summary:
E above lowest polymorph	0.174	eV/atom
E_tot	-0.238	hartree per atom

Geometry as CIF:
```
data_SmThCoPd
_cell_length_a 7.071
_cell_length_b 7.071
_cell_length_c 7.071
_cell_angle_alpha 90.00
_cell_angle_beta 90.00
_cell_angle_gamma 90.00
_symmetry_space_group_name_H-M 'F -4 3 m'
_symmetry_Int_Tables_number 216
_symmetry_space_group_name_Hall 'F -4 2 3'
loop_
_atom_site_label
_atom_site_fract_x
_atom_site_fract_y
_atom_site_fract_z
Sm1 0.000 0.000 0.000
Th1 0.000 0.000 0.500
Co1 0.250 0.250 0.250
Pd1 0.250 0.250 0.750
```



2.
The following is a PBE-GGA calculation of an optimized crystal structure of SmThCoPd, from Alexandria via LeMat-Bulk.

Summary:
E above lowest polymorph	0.000	eV/atom
E_tot	-0.244	hartree per atom

Geometry as CIF:
```
data_SmThCoPd
_cell_length_a 4.028
_cell_length_b 3.849
_cell_length_c 11.590
_cell_angle_alpha 90.00
_cell_angle_beta 90.00
_cell_angle_gamma 90.00
_symmetry_space_group_name_H-M 'A m m 2'
_symmetry_Int_Tables_number 38
loop_
_symmetry_equiv_pos_as_xyz
'x,y,z'
'-x,-y,z'
'-x,y,z'
'x,-y,z'
'x,y+1/2,z+1/2'
'-x,-y+1/2,z+1/2'
'-x,y+1/2,z+1/2'
'x,-y+1/2,z+1/2'
loop_
_atom_site_label
_atom_site_fract_x
_atom_site_fract_y
_atom_site_fract_z
Sm1 0.000 0.000 0.000
Th1 0.500 0.000 0.279
Co1 0.000 0.000 0.749
Pd1 0.500 0.000 0.570
```



3.
The following is a PBE-GGA calculation of an optimized crystal structure of SmZrCoPd, from Alexandria via LeMat-Bulk.

Summary:
E_tot	-0.246	hartree per atom

Geometry as CIF:
```
data_SmZrCoPd
_cell_length_a 6.786
_cell_length_b 6.786
_cell_length_c 6.786
_cell_angle_alpha 90.00
_cell_angle_beta 90.00
_cell_angle_gamma 90.00
_symmetry_space_group_name_H-M 'F -4 3 m'
_symmetry_Int_Tables_number 216
_symmetry_space_group_name_Hall 'F -4 2 3'
loop_
_atom_site_label
_atom_site_fract_x
_atom_site_fract_y
_atom_site_fract_z
Sm1 0.000 0.000 0.000
Zr1 0.000 0.000 0.500
Co1 0.250 0.250 0.750
Pd1 0.250 0.250 0.250
```



4.
The following is a PBE-GGA calculation of an optimized crystal structure of CoSn4Pd, from Alexandria via LeMat-Bulk.

Summary:
E above lowest polymorph	0.151	eV/atom
E_tot	-0.176	hartree per atom

Geometry as CIF:
```
data_CoSn4Pd
_cell_length_a 6.387
_cell_length_b 3.532
_cell_length_c 6.532
_cell_angle_alpha 90.00
_cell_angle_beta 109.74
_cell_angle_gamma 90.00
_symmetry_space_group_name_H-M 'P 1 2/m 1'
_symmetry_Int_Tables_number 10
loop_
_symmetry_equiv_pos_as_xyz
'x,y,z'
'-x,-y,-z'
'-x,y,-z'
'x,-y,z'
loop_
_atom_site_label
_atom_site_fract_x
_atom_site_fract_y
_atom_site_fract_z
Co1 0.000 0.000 0.000
Sn1 0.066 0.500 0.739
Sn2 0.401 0.000 0.267
Pd1 0.500 0.500 0.000
```



5.
The following is a PBE-GGA calculation of an optimized crystal structure of Co2SnPd2, from Alexandria via LeMat-Bulk.

Summary:
E above lowest polymorph	0.109	eV/atom
E_tot	-0.204	hartree per atom

Geometry as CIF:
```
data_Co2SnPd2
_cell_length_a 7.322
_cell_length_b 7.322
_cell_length_c 2.892
_cell_angle_alpha 90.00
_cell_angle_beta 90.00
_cell_angle_gamma 90.00
_symmetry_space_group_name_H-M 'P 4/m b m'
_symmetry_Int_Tables_number 127
_symmetry_space_group_name_Hall '-P 4 2ab'
loop_
_atom_site_label
_atom_site_fract_x
_atom_site_fract_y
_atom_site_fract_z
Co1 0.163 0.337 0.000
Sn1 0.000 0.000 0.500
Pd1 0.132 0.632 0.500
```



6.
The following is a PBE-GGA calculation of an optimized crystal structure of Co2SnPd2, from Alexandria via LeMat-Bulk.

Summary:
E above lowest polymorph	0.000	eV/atom
E_tot	-0.208	hartree per atom

Geometry as CIF:
```
data_Co2SnPd2
_cell_length_a 6.412
_cell_length_b 6.412
_cell_length_c 3.731
_cell_angle_alpha 90.00
_cell_angle_beta 90.00
_cell_angle_gamma 90.00
_symmetry_space_group_name_H-M 'P 4/m b m'
_symmetry_Int_Tables_number 127
_symmetry_space_group_name_Hall '-P 4 2ab'
loop_
_atom_site_label
_atom_site_fract_x
_atom_site_fract_y
_atom_site_fract_z
Co1 0.123 0.377 0.000
Sn1 0.000 0.000 0.000
Pd1 0.165 0.665 0.500
```



7.
The following is a PBE-GGA calculation of an optimized crystal structure of Co2Sn8Pd, from Alexandria via LeMat-Bulk.

Summary:
E_tot	-0.171	hartree per atom

Geometry as CIF:
```
data_Co2Sn8Pd
_cell_length_a 11.513
_cell_length_b 9.242
_cell_length_c 5.034
_cell_angle_alpha 90.00
_cell_angle_beta 90.80
_cell_angle_gamma 90.00
_symmetry_space_group_name_H-M 'C 1 2/m 1'
_symmetry_Int_Tables_number 12
loop_
_symmetry_equiv_pos_as_xyz
'x,y,z'
'-x,-y,-z'
'-x,y,-z'
'x,-y,z'
'x+1/2,y+1/2,z'
'-x+1/2,-y+1/2,-z'
'-x+1/2,y+1/2,-z'
'x+1/2,-y+1/2,z'
loop_
_atom_site_label
_atom_site_fract_x
_atom_site_fract_y
_atom_site_fract_z
Co1 0.210 0.000 0.251
Sn1 0.076 0.500 0.762
Sn2 0.097 0.231 0.276
Sn3 0.216 0.000 0.749
Pd1 0.000 0.000 0.000
```



8.
The following is a PBE-GGA calculation of an optimized crystal structure of CoSn4Pd, from Alexandria via LeMat-Bulk.

Summary:
E above lowest polymorph	0.000	eV/atom
E_tot	-0.182	hartree per atom

Geometry as CIF:
```
data_CoSn4Pd
_cell_length_a 4.473
_cell_length_b 4.473
_cell_length_c 6.464
_cell_angle_alpha 90.00
_cell_angle_beta 90.00
_cell_angle_gamma 90.00
_symmetry_space_group_name_H-M 'P 4/m m m'
_symmetry_Int_Tables_number 123
_symmetry_space_group_name_Hall '-P 4 2'
loop_
_atom_site_label
_atom_site_fract_x
_atom_site_fract_y
_atom_site_fract_z
Co1 0.000 0.000 0.000
Sn1 0.000 0.500 0.236
Pd1 0.500 0.500 0.500
```



9.
The following is a PBE-GGA calculation of an optimized crystal structure of CoSn2Pd, from Alexandria via LeMat-Bulk.

Summary:
E above lowest polymorph	0.000	eV/atom
E_tot	-0.188	hartree per atom

Geometry as CIF:
```
data_CoSn2Pd
_cell_length_a 6.516
_cell_length_b 6.516
_cell_length_c 6.516
_cell_angle_alpha 90.00
_cell_angle_beta 90.00
_cell_angle_gamma 90.00
_symmetry_space_group_name_H-M 'F m -3 m'
_symmetry_Int_Tables_number 225
_symmetry_space_group_name_Hall '-F 4 2 3'
loop_
_atom_site_label
_atom_site_fract_x
_atom_site_fract_y
_atom_site_fract_z
Co1 0.000 0.000 0.000
Sn1 0.250 0.250 0.250
Pd1 0.000 0.000 0.500
```



10.
The following is a PBE-GGA calculation of an optimized crystal structure of CoSn2Pd, from Alexandria via LeMat-Bulk.

Summary:
E above lowest polymorph	0.228	eV/atom
E_tot	-0.180	hartree per atom

Geometry as CIF:
```
data_CoSn2Pd
_cell_length_a 7.178
_cell_length_b 7.178
_cell_length_c 5.997
_cell_angle_alpha 90.00
_cell_angle_beta 90.00
_cell_angle_gamma 90.00
_symmetry_space_group_name_H-M 'I -4 2 d'
_symmetry_Int_Tables_number 122
_symmetry_space_group_name_Hall 'I -4 2bw'
loop_
_atom_site_label
_atom_site_fract_x
_atom_site_fract_y
_atom_site_fract_z
Co1 0.000 0.000 0.000
Sn1 0.225 0.250 0.125
Pd1 0.000 0.000 0.500
```



11.
The following is a PBE-GGA calculation of an optimized crystal structure of CoSn2Pd, from Alexandria via LeMat-Bulk.

Summary:
E above lowest polymorph	0.172	eV/atom
E_tot	-0.182	hartree per atom

Geometry as CIF:
```
data_CoSn2Pd
_cell_length_a 3.1481
_cell_length_b 3.1481
_cell_length_c 27.1517
_cell_angle_alpha 90.00
_cell_angle_beta 90.00
_cell_angle_gamma 120.00
_symmetry_space_group_name_H-M 'R -3 m'
_symmetry_Int_Tables_number 166
_symmetry_space_group_name_Hall '-R 3 2"'
loop_
_atom_site_label
_atom_site_fract_x
_atom_site_fract_y
_atom_site_fract_z
Co1 0.0000 0.0000 0.0000
Sn1 0.0000 0.0000 0.4039
Pd1 0.0000 0.0000 0.5000
```



12.
The following is a PBE-GGA calculation of an optimized crystal structure of CoSnPd, from Alexandria via LeMat-Bulk.

Summary:
E_tot	-0.200	hartree per atom

Geometry as CIF:
```
data_CoSnPd
_cell_length_a 3.285
_cell_length_b 3.285
_cell_length_c 8.826
_cell_angle_alpha 90.00
_cell_angle_beta 90.00
_cell_angle_gamma 90.00
_symmetry_space_group_name_H-M 'P 4/m m m'
_symmetry_Int_Tables_number 123
_symmetry_space_group_name_Hall '-P 4 2'
loop_
_atom_site_label
_atom_site_fract_x
_atom_site_fract_y
_atom_site_fract_z
Co1 0.000 0.000 0.000
Co2 0.500 0.500 0.500
Sn1 0.000 0.000 0.327
Pd1 0.500 0.500 0.155
```



Energy of formation from the pure elements for every record listed, in sequence, given in eV/atom: -0.3559; -0.5301; -0.3081; -0.0717; 0.1683; 0.0591; 0.0352; -0.2232; -0.0492; 0.1790; 0.1228; 0.0002.